# GdPuTh PBE relaxed
# SG: I4mm
# Calculated volume: 30.713 Å³ per atom
# Electronic total energy: -11.7382 eV/atom
# ΔE_f: 0.21 eV per atom
data_GdPuTh
_chemical_formula_sum 'Gd1 Pu1 Th1'
_cell_length_a 4.020
_cell_length_b 4.020
_cell_length_c 6.372
_cell_angle_alpha 108.39
_cell_angle_beta 108.39
_cell_angle_gamma 90.00
_space_group_name_H-M_alt 'P 1'
_space_group_IT_number 1
loop_
_space_group_symop_operation_xyz
'x,y,z'
loop_
_atom_site_label
_atom_site_type_symbol
_atom_site_fract_x
_atom_site_fract_y
_atom_site_fract_z
Th1 Th 0.605 0.605 0.211
Pu1 Pu 0.954 0.954 0.908
Gd1 Gd 0.291 0.291 0.581

---

# GdPu2Th PBE relaxed
# SG: P4/mmm
# Calculated volume: 29.540 Å³ per atom
# Electronic total energy: -12.3036 eV/atom
# Distance to the lowest polymorph of the same formula: 4.75 kJ/mol of atoms
# ΔE_f: 0.24 eV per atom
data_GdPu2Th
_chemical_formula_sum 'Gd1 Pu2 Th1'
_cell_length_a 3.917
_cell_length_b 3.917
_cell_length_c 7.700
_cell_angle_alpha 90.00
_cell_angle_beta 90.00
_cell_angle_gamma 90.00
_space_group_name_H-M_alt 'P 1'
_space_group_IT_number 1
loop_
_space_group_symop_operation_xyz
'x,y,z'
loop_
_atom_site_label
_atom_site_type_symbol
_atom_site_fract_x
_atom_site_fract_y
_atom_site_fract_z
Pu1 Pu 0.000 0.000 0.251
Pu2 Pu 0.000 0.000 0.749
Th1 Th 0.500 0.500 0.500
Gd1 Gd 0.500 0.500 0.000

---

# GdPu2Th PBE relaxed
# SG: R-3m
# Calculated volume: 30.117 Å³ per atom
# Electronic total energy: -12.2148 eV/atom
# Distance to the lowest polymorph of the same formula: 13.31 kJ/mol of atoms
# ΔE_f: 0.33 eV per atom
data_GdPu2Th
_chemical_formula_sum 'Gd1 Pu2 Th1'
_cell_length_a 3.438
_cell_length_b 3.438
_cell_length_c 11.932
_cell_angle_alpha 81.72
_cell_angle_beta 81.72
_cell_angle_gamma 60.00
_space_group_name_H-M_alt 'P 1'
_space_group_IT_number 1
loop_
_space_group_symop_operation_xyz
'x,y,z'
loop_
_atom_site_label
_atom_site_type_symbol
_atom_site_fract_x
_atom_site_fract_y
_atom_site_fract_z
Th1 Th 0.500 0.500 0.500
Pu1 Pu 0.088 0.088 0.736
Pu2 Pu 0.912 0.912 0.264
Gd1 Gd 0.000 0.000 0.000

---

# GdYPuTh PBE relaxed
# SG: F-43m
# Calculated volume: 30.896 Å³ per atom
# Electronic total energy: -10.3743 eV/atom
# ΔE_f: 0.20 eV per atom
data_GdYPuTh
_chemical_formula_sum 'Gd1 Y1 Pu1 Th1'
_cell_length_a 5.591
_cell_length_b 5.591
_cell_length_c 5.591
_cell_angle_alpha 60.00
_cell_angle_beta 60.00
_cell_angle_gamma 60.00
_space_group_name_H-M_alt 'P 1'
_space_group_IT_number 1
loop_
_space_group_symop_operation_xyz
'x,y,z'
loop_
_atom_site_label
_atom_site_type_symbol
_atom_site_fract_x
_atom_site_fract_y
_atom_site_fract_z
Gd1 Gd 0.500 0.500 0.500
Y1 Y 0.250 0.250 0.250
Th1 Th 0.000 0.000 0.000
Pu1 Pu 0.750 0.750 0.750

---

# GdPuThZn PBE relaxed
# SG: F-43m
# Calculated volume: 25.985 Å³ per atom
# Electronic total energy: -9.1795 eV/atom
# ΔE_f: 0.10 eV per atom
data_GdPuThZn
_chemical_formula_sum 'Gd1 Pu1 Th1 Zn1'
_cell_length_a 5.278
_cell_length_b 5.278
_cell_length_c 5.278
_cell_angle_alpha 60.00
_cell_angle_beta 60.00
_cell_angle_gamma 60.00
_space_group_name_H-M_alt 'P 1'
_space_group_IT_number 1
loop_
_space_group_symop_operation_xyz
'x,y,z'
loop_
_atom_site_label
_atom_site_type_symbol
_atom_site_fract_x
_atom_site_fract_y
_atom_site_fract_z
Gd1 Gd 0.750 0.750 0.750
Th1 Th 0.250 0.250 0.250
Pu1 Pu 0.500 0.500 0.500
Zn1 Zn 0.000 0.000 0.000

---

# GdPuThZr PBE relaxed
# SG: F-43m
# Calculated volume: 27.818 Å³ per atom
# Electronic total energy: -10.8871 eV/atom
# ΔE_f: 0.21 eV per atom
data_GdPuThZr
_chemical_formula_sum 'Gd1 Pu1 Th1 Zr1'
_cell_length_a 5.399
_cell_length_b 5.399
_cell_length_c 5.399
_cell_angle_alpha 60.00
_cell_angle_beta 60.00
_cell_angle_gamma 60.00
_space_group_name_H-M_alt 'P 1'
_space_group_IT_number 1
loop_
_space_group_symop_operation_xyz
'x,y,z'
loop_
_atom_site_label
_atom_site_type_symbol
_atom_site_fract_x
_atom_site_fract_y
_atom_site_fract_z
Zr1 Zr 0.250 0.250 0.250
Th1 Th 0.500 0.500 0.500
Gd1 Gd 0.000 0.000 0.000
Pu1 Pu 0.750 0.750 0.750

---

| no. | total magnetization (μB/f.u.) |
| --- | --- |
| 1 | 14.23 |
| 2 | 20.66 |
| 3 | 4.17 |
| 4 | 15.15 |
| 5 | 15.11 |
| 6 | 13.28 |